1 | {"formula": "ZrTa2Cu", "functional": "PBEsol", "state": "relaxed", "lattice_angstrom": [[6.485, 0.000, 0.000], [0.000, 6.485, 0.000], [0.000, 0.000, 6.485]], "species": ["Zr", "Zr", "Zr", "Zr", "Ta", "Ta", "Ta", "Ta", "Ta", "Ta", "Ta", "Ta", "Cu", "Cu", "Cu", "Cu"], "frac_coords": [[0.000, 0.000, 0.000], [0.000, 0.500, 0.500], [0.500, 0.000, 0.500], [0.500, 0.500, 0.000], [0.000, 0.000, 0.500], [0.000, 0.500, 0.000], [0.250, 0.250, 0.250], [0.250, 0.750, 0.750], [0.500, 0.000, 0.000], [0.500, 0.500, 0.500], [0.750, 0.250, 0.750], [0.750, 0.750, 0.250], [0.250, 0.250, 0.750], [0.250, 0.750, 0.250], [0.750, 0.250, 0.250], [0.750, 0.750, 0.750]]}



2 | {"formula": "ZrTa2Cu", "functional": "PBEsol", "state": "relaxed", "lattice_angstrom": [[3.323, 0.000, 0.000], [0.000, 3.323, 0.000], [0.000, 0.000, 6.224]], "species": ["Zr", "Ta", "Ta", "Cu"], "frac_coords": [[0.000, 0.000, 0.000], [0.000, 0.000, 0.487], [0.500, 0.500, 0.724], [0.500, 0.500, 0.255]]}



Short version: 2, 1, most stable first.